[1]
First-principles (PBE-GGA) data for a relaxed BaEr4Se6 crystal, as listed in Alexandria.

V in Å³ per atom: 26.70
Formation energy (no corrections) in kJ/mol of formula units: -1972
N(E_F) in states/eV/f.u.: 3.4

abc: 4.1354 7.0193 21.1748
angles: 90.00 90.00 107.13
Closest atoms and distances in Å follow each position.
Fractional coordinates of all 22 atoms:
Se1 0.7675 0.5350 0.4141  5 Er 2.88-2.92
Se2 0.2325 0.4650 0.5859  5 Er 2.88-2.92
Se3 0.5000 0.0000 0.0000  6 Er 2.90-2.95
Se4 0.3413 0.6826 0.2500  2 Er 2.77
Se5 0.0402 0.0805 0.1555  3 Er 2.81-2.82
Se6 0.6587 0.3174 0.7500  2 Er 2.77
Se7 0.2325 0.4650 0.9141  5 Er 2.88-2.92
Se8 0.9598 0.9195 0.6555  3 Er 2.81-2.82
Se9 0.5000 0.0000 0.5000  6 Er 2.90-2.95
Se10 0.9598 0.9195 0.8445  3 Er 2.81-2.82
Se11 0.7675 0.5350 0.0859  5 Er 2.88-2.92
Se12 0.0402 0.0805 0.3445  3 Er 2.81-2.82
Er1 0.5950 0.1900 0.6255  6 Se 2.77-2.95
Er2 0.8615 0.7231 0.9616  6 Se 2.81-2.92
Er3 0.1385 0.2769 0.4616  6 Se 2.81-2.92
Er4 0.1385 0.2769 0.0384  6 Se 2.81-2.92
Er5 0.4050 0.8100 0.3745  6 Se 2.77-2.95
Er6 0.8615 0.7231 0.5384  6 Se 2.81-2.92
Er7 0.4050 0.8100 0.1255  6 Se 2.77-2.95
Er8 0.5950 0.1900 0.8745  6 Se 2.77-2.95
Ba1 0.3413 0.6827 0.7500  6 Se 3.21-3.29
Ba2 0.6587 0.3173 0.2500  6 Se 3.21-3.29


[2]
First-principles (PBE-GGA) data for a relaxed VHgTe2 crystal, as listed in Alexandria.

V in Å³ per atom: 27.15
Formation energy (no corrections) in kJ/mol of formula units: -19
N(E_F) in states/eV/f.u.: 3.2

abc: 5.8347 5.8347 7.5973
angles: 67.42 67.42 90.00
Closest atoms and distances in Å follow each position.
Fractional coordinates of all 8 atoms:
Te1 0.7178 0.7178 0.5644  3 V 2.78-2.95, 2 Hg 2.95
Te2 0.2822 0.2822 0.4356  3 V 2.78-2.95, 2 Hg 2.95
Te3 0.0322 0.5322 0.9356  3 V 2.78-2.95, 2 Hg 2.95
Te4 0.4678 0.9678 0.0644  3 V 2.78-2.95, 2 Hg 2.95
V1 0.2500 0.7500 0.5000  6 Te 2.78-2.95
V2 0.5000 0.5000 0.0000  6 Te 2.78-2.95
Hg1 0.7500 0.2500 0.5000  4 Te 2.95
Hg2 0.0000 0.0000 0.0000  4 Te 2.95


Question: The highest N(E_F) belongs to which entry?
Answer: BaEr4Se6